Compound: AcYAs2
Source: Alexandria
Functional: GGA-PBE
Structure: relaxed

```
data_AcYAs2
_symmetry_space_group_name_H-M 'F m -3 m'
_symmetry_Int_Tables_number 225
_symmetry_space_group_name_Hall '-F 4 2 3'
_cell_length_a 7.468
_cell_length_b 7.468
_cell_length_c 7.468
_cell_angle_alpha 90.00
_cell_angle_beta 90.00
_cell_angle_gamma 90.00
loop_
_atom_site_label
_atom_site_type_symbol
_atom_site_fract_x
_atom_site_fract_y
_atom_site_fract_z
_atom_site_occupancy
Ac1 Ac 0.000 0.000 0.000 1
Y1 Y 0.000 0.000 0.500 1
As1 As 0.250 0.250 0.250 1
```

Output
* E_form: -103 kJ per mole of atoms